# 1
Computed, not measured: crystalline La4Mn3NiO12 at its relaxed geometry at the PBE+U level of DFT.

a b c (Å): 5.5322 5.5699 7.7938
angles (deg): 90.34 90.22 90.09
With the nearest neighbours (Å) after each atom.
Positions (direct):
La1 0.0035 0.4641 0.2496  6 O 2.41-2.68
La2 0.4879 0.9592 0.2508  6 O 2.42-2.64
La3 0.5121 0.0408 0.7492  6 O 2.42-2.64
La4 0.9965 0.5359 0.7504  6 O 2.41-2.68
Mn1 0.0000 0.0000 0.0000  6 O 1.96-2.05
Mn2 0.0000 0.0000 0.5000  6 O 1.92-1.94
Mn3 0.5000 0.5000 0.0000  6 O 1.93-2.06
Ni1 0.5000 0.5000 0.5000  6 O 2.05-2.08
O1 0.0778 0.9856 0.7429  2 Mn 1.94-2.05
O2 0.2053 0.7254 0.4595  1 Mn 1.93, 1 Ni 2.08
O3 0.2077 0.7118 0.0398  2 Mn 2.00-2.03
O4 0.2720 0.2068 0.4605  1 Mn 1.92, 1 Ni 2.08
O5 0.2833 0.2049 0.0385  2 Mn 1.96-2.06
O6 0.4293 0.4872 0.7576  1 Mn 1.93, 1 Ni 2.05
O7 0.5707 0.5128 0.2424  1 Mn 1.93, 1 Ni 2.05
O8 0.7167 0.7951 0.9615  2 Mn 1.96-2.06
O9 0.7280 0.7932 0.5395  1 Mn 1.92, 1 Ni 2.08
O10 0.7923 0.2882 0.9602  2 Mn 2.00-2.03
O11 0.7947 0.2746 0.5405  1 Mn 1.93, 1 Ni 2.08
O12 0.9222 0.0144 0.2571  2 Mn 1.94-2.05

M_tot ... 7.000 μB per formula unit
Raw total energy ... -150.95 eV for the cell shown
Space group ... P-1 (2)


# 2
Computed, not measured: crystalline LaMnNiO2 at its relaxed geometry at the PBE+U level of DFT.

a b c (Å): 4.4076 4.4076 5.0382
angles (deg): 90.00 90.00 90.00
With the nearest neighbours (Å) after each atom.
Positions (direct):
La1 0.0000 0.0000 0.0000  4 O 2.20
Mn1 0.5000 0.5000 0.5000  4 Ni 3.12, 8 O 3.35
Ni1 0.0000 0.0000 0.5000  2 La 2.52
O1 0.0000 0.5000 0.0000  2 La 2.20
O2 0.5000 0.0000 0.0000  2 La 2.20

M_tot ... 0.991 μB per formula unit
Raw total energy ... -23.19 eV for the cell shown
Space group ... P4/mmm (123)


# 3
Computed, not measured: crystalline La2MnNiO6 at its relaxed geometry at the PBE+U level of DFT.

a b c (Å): 5.4817 5.4817 5.4817
angles (deg): 61.20 61.20 61.20
With the nearest neighbours (Å) after each atom.
Positions (direct):
La1 0.2502 0.2502 0.2502  3 O 2.41
La2 0.7498 0.7498 0.7498  3 O 2.41
Mn1 0.5000 0.5000 0.5000  6 O 1.94
Ni1 0.0000 0.0000 0.0000  6 O 2.05
O1 0.1895 0.3251 0.7391  1 Mn 1.94, 1 Ni 2.05
O2 0.2609 0.8105 0.6749  1 Mn 1.94, 1 Ni 2.05
O3 0.3251 0.7391 0.1895  1 Mn 1.94, 1 Ni 2.05
O4 0.6749 0.2609 0.8105  1 Mn 1.94, 1 Ni 2.05
O5 0.7391 0.1895 0.3251  1 Mn 1.94, 1 Ni 2.05
O6 0.8105 0.6749 0.2609  1 Mn 1.94, 1 Ni 2.05

M_tot ... 4.999 μB per formula unit
Raw total energy ... -74.13 eV for the cell shown
Space group ... R-3 (148)


- raw total energy of number 2 (LaMnNiO2)?
  -23.19 eV for the cell shown


- Among the records above, which one has the lowest M_tot?
  LaMnNiO2


What did the third record say?
Computed, not measured: crystalline La2MnNiO6 at its relaxed geometry at the PBE+U level of DFT.

a b c (Å): 5.4817 5.4817 5.4817
angles (deg): 61.20 61.20 61.20
With the nearest neighbours (Å) after each atom.
Positions (direct):
La1 0.2502 0.2502 0.2502  3 O 2.41
La2 0.7498 0.7498 0.7498  3 O 2.41
Mn1 0.5000 0.5000 0.5000  6 O 1.94
Ni1 0.0000 0.0000 0.0000  6 O 2.05
O1 0.1895 0.3251 0.7391  1 Mn 1.94, 1 Ni 2.05
O2 0.2609 0.8105 0.6749  1 Mn 1.94, 1 Ni 2.05
O3 0.3251 0.7391 0.1895  1 Mn 1.94, 1 Ni 2.05
O4 0.6749 0.2609 0.8105  1 Mn 1.94, 1 Ni 2.05
O5 0.7391 0.1895 0.3251  1 Mn 1.94, 1 Ni 2.05
O6 0.8105 0.6749 0.2609  1 Mn 1.94, 1 Ni 2.05

M_tot ... 4.999 μB per formula unit
Raw total energy ... -74.13 eV for the cell shown
Space group ... R-3 (148)


- What is the raw total energy in the second record?
  -23.19 eV for the cell shown